Entry 1:
The following is a DFT calculation (PBE) of a relaxed ReHgPb crystal.

Energy of formation in meV/atom: 953

```
data_ReHgPb
_chemical_formula_sum 'Re4 Hg4 Pb4'
_cell_length_a 3.1443
_cell_length_b 5.0206
_cell_length_c 17.4972
_cell_angle_alpha 90.00
_cell_angle_beta 90.00
_cell_angle_gamma 90.00
_space_group_name_H-M_alt 'F m m 2'
_space_group_IT_number 42
_space_group_name_Hall 'F 2 -2'
loop_
_atom_site_label
_atom_site_fract_x
_atom_site_fract_y
_atom_site_fract_z
_atom_site_occupancy
Re1 0.0000 0.0000 0.0000 1
Hg1 0.0000 0.0000 0.6433 1
Pb1 0.0000 0.0000 0.3579 1
```



Entry 2:
The following is a DFT calculation (PBE) of a relaxed Th2Al2SnRu5 crystal.

Energy of formation in meV/atom: -462

```
data_Th2Al2SnRu5
_chemical_formula_sum 'Th4 Al4 Sn2 Ru10'
_cell_length_a 10.2364
_cell_length_b 10.2364
_cell_length_c 3.4330
_cell_angle_alpha 90.00
_cell_angle_beta 90.00
_cell_angle_gamma 90.00
_space_group_name_H-M_alt 'P 4/m b m'
_space_group_IT_number 127
_space_group_name_Hall '-P 4 2ab'
loop_
_atom_site_label
_atom_site_fract_x
_atom_site_fract_y
_atom_site_fract_z
_atom_site_occupancy
Th1 0.1757 0.3243 0.0000 1
Al1 0.1218 0.6218 0.0000 1
Sn1 0.0000 0.0000 0.0000 1
Ru1 0.0000 0.5000 0.5000 1
Ru2 0.0698 0.7912 0.5000 1
```



Among the records above, which one has the highest energy of formation? ReHgPb



What is the energy of formation in the second record? -462 meV/atom



What is the energy of formation in the first record? 953 meV/atom